1.
LuCuSi PBE relaxed; crystal system = hexagonal; raw total energy = -15.61 eV per formula unit; space-group type = P6_3/mmc
1.0
4.0888 0.0000 0.0000
-2.0444 3.5410 0.0000
0.0000 0.0000 7.2579
Lu Cu Si
2 2 2
Direct
0.0000 0.0000 0.0000
0.0000 0.0000 0.5000
0.3333 0.6667 0.2500
0.6667 0.3333 0.7500
0.6667 0.3333 0.2500
0.3333 0.6667 0.7500

---

2.
LuCuSi2 PBE relaxed; crystal system = cubic; raw total energy = -18.98 eV per formula unit; space-group type = F-43m
1.0
0.9263 3.3192 3.0110
-3.3169 1.6350 2.6956
0.0322 -0.9207 4.4825
Si Lu Cu
2 1 1
Direct
0.0000 0.0000 0.0000
0.7500 0.7500 0.7500
0.2500 0.2500 0.2500
0.5000 0.5000 0.5000

---

3.
LuCuSi PBE relaxed; crystal system = hexagonal; raw total energy = -14.46 eV per formula unit; space-group type = P6_3/mmc
1.0
4.7002 0.0000 0.0000
-2.3501 4.0705 0.0000
0.0000 0.0000 5.5751
Cu Si Lu
2 2 2
Direct
0.0000 0.0000 0.0000
0.0000 0.0000 0.5000
0.3333 0.6667 0.2500
0.6667 0.3333 0.7500
0.6667 0.3333 0.2500
0.3333 0.6667 0.7500

---

4.
Lu3Cu4Si2Sn2 PBE relaxed; crystal system = orthorhombic; raw total energy = -52.67 eV per formula unit; space-group type = Immm
1.0
-0.7459 -8.0113 -0.1946
-5.5562 -3.7008 4.4953
1.9000 5.1612 -5.8760
Si Cu Lu Sn
2 4 3 2
Direct
0.7847 0.7847 0.0000
0.2153 0.2153 0.0000
0.9911 0.6833 0.3078
0.3755 0.6833 0.6922
0.0089 0.3167 0.6922
0.6245 0.3167 0.3078
0.3657 0.8657 0.5000
0.0000 0.0000 0.0000
0.6343 0.1343 0.5000
0.2953 0.5000 0.7953
0.7047 0.5000 0.2047